Below is a relaxed structure of Sr2RuBr, with properties calculated at the PBE level.

Results
The formation energy (no corrections) is -0.28 eV per atom. The magnetization is 0.54 μB/f.u. The total energy comes out at -15.4 eV for the cell shown. The value obtained for the energy above the most stable polymorph in this dataset is 152 meV/atom. The symmetry is Amm2. The density of states at the Fermi level is 3.60 states/eV per cell. As for the crystal system: orthorhombic.

Unit cell a=6.1066 b=6.1066 c=5.2674 alpha=90.00 beta=90.00 gamma=34.52
Closest atoms and distances in Å follow each position.
Atoms (fractional coordinates):
Ru 0.2616 0.2616 0.1250  5 Sr 2.96-3.20
Sr 0.7481 0.7481 0.6251  3 Br 3.10-3.28, 4 Ru 3.20
Br 0.4826 0.4826 0.6251  7 Sr 3.10-3.28
Sr 0.0078 0.0078 0.1249  1 Ru 2.96, 4 Br 3.21

***

Below is a relaxed structure of Cd2Ga5Ag3, with properties calculated at the PBE level.

Results
As for the formation energy: 0.03 eV/atom. The magnetization is 0.00 μB/f.u. The total energy comes out at -50.5 eV for the cell shown. The value obtained for the energy above the most stable polymorph in this dataset is 0 meV/atom. The symmetry is C2/c. The density of states at the Fermi level is 5.73 states/eV per cell. As for the crystal system: monoclinic.

Unit cell a=5.4540 b=8.7078 c=8.7074 alpha=92.33 beta=104.48 gamma=104.48
Closest atoms and distances in Å follow each position.
Atoms (fractional coordinates):
Ga 0.5045 0.2834 0.2244  5 Ga 2.72-2.83, 3 Ag 2.76-2.88
Ga 0.9955 0.7757 0.7166  5 Ga 2.72-2.83, 3 Ag 2.76-2.88
Cd 0.7729 0.6185 0.1152  6 Ga 2.93-3.23, 4 Ag 2.97-3.17
Ag 0.7754 0.2325 0.5313  5 Ga 2.66-2.83, 1 Ag 2.96, 1 Cd 2.97
Ga 0.7500 0.5424 0.4576  4 Ga 2.79-2.93, 4 Ag 2.81-2.83, 2 Cd 3.11
Ag 0.2500 0.0492 0.9508  6 Ga 2.79-2.88, 2 Ag 2.99, 2 Cd 3.00
Ga 0.7553 0.0171 0.7393  3 Ag 2.66-2.80, 3 Ga 2.72-2.96, 1 Cd 2.93
Ag 0.7500 0.9508 0.0492  6 Ga 2.79-2.88, 2 Ag 2.99, 2 Cd 3.00
Ga 0.2447 0.9829 0.2607  3 Ag 2.66-2.80, 3 Ga 2.72-2.96, 1 Cd 2.93
Ga 0.2553 0.7393 0.0171  3 Ag 2.66-2.80, 3 Ga 2.72-2.96, 1 Cd 2.93
Ga 0.4955 0.7166 0.7756  5 Ga 2.72-2.83, 3 Ag 2.76-2.88
Ga 0.0045 0.2243 0.2834  5 Ga 2.72-2.83, 3 Ag 2.76-2.88
Ag 0.2246 0.7675 0.4687  5 Ga 2.66-2.83, 1 Ag 2.96, 1 Cd 2.97
Cd 0.7271 0.8848 0.3814  6 Ga 2.93-3.23, 4 Ag 2.97-3.17
Ga 0.2500 0.4576 0.5424  4 Ga 2.79-2.93, 4 Ag 2.81-2.83, 2 Cd 3.11
Ag 0.2754 0.5313 0.2326  5 Ga 2.66-2.83, 1 Ag 2.96, 1 Cd 2.97
Ag 0.7246 0.4687 0.7674  5 Ga 2.66-2.83, 1 Ag 2.96, 1 Cd 2.97
Ga 0.7447 0.2607 0.9829  3 Ag 2.66-2.80, 3 Ga 2.72-2.96, 1 Cd 2.93
Cd 0.2729 0.1152 0.6186  6 Ga 2.93-3.23, 4 Ag 2.97-3.17
Cd 0.2271 0.3815 0.8848  6 Ga 2.93-3.23, 4 Ag 2.97-3.17

***

Below is a relaxed structure of Na2SrInN, with properties calculated at the PBE level.

Results
The formation energy (no corrections) is 0.04 eV per atom. The magnetization is 0.00 μB/f.u. The total energy comes out at -15.2 eV for the cell shown. The symmetry is P4/mmm. The density of states at the Fermi level is 3.60 states/eV per cell. As for the crystal system: tetragonal.

Unit cell a=5.0229 b=5.1006 c=5.0229 alpha=90.00 beta=90.00 gamma=90.00
Closest atoms and distances in Å follow each position.
Atoms (fractional coordinates):
N 0.0000 0.0000 0.0000  4 Na 2.51, 2 Sr 2.55
Na 0.0000 0.0000 0.5000  2 N 2.51
Sr 0.0000 0.5000 0.0000  2 N 2.55
In 0.5000 0.5000 0.5000  4 Sr 3.55, 8 Na 3.58
Na 0.5000 0.0000 0.0000  2 N 2.51

***

Below is a relaxed structure of Ca2GaAu3, with properties calculated at the PBE level.

Results
As for the formation energy: -0.70 eV/atom. The magnetization is 0.00 μB/f.u. The total energy comes out at -42.1 eV for the cell shown. The value obtained for the energy above the most stable polymorph in this dataset is 4 meV/atom. The symmetry is Fmmm. The density of states at the Fermi level is 6.91 states/eV per cell. As for the crystal system: orthorhombic.

Unit cell a=5.9179 b=5.9179 c=9.2995 alpha=113.27 beta=113.27 gamma=76.01
Closest atoms and distances in Å follow each position.
Atoms (fractional coordinates):
Ca 0.2422 0.7578 0.0000  10 Au 3.23-3.32, 2 Ga 3.28, 1 Ca 3.53
Au 0.8272 0.8272 0.6543  1 Ga 2.58, 2 Au 2.81
Au 0.1748 0.1748 0.8265  1 Ga 2.57, 2 Au 2.79-2.81
Au 0.3483 0.3483 0.1735  1 Ga 2.57, 2 Au 2.79-2.81
Ca 0.7578 0.2422 0.0000  10 Au 3.23-3.32, 2 Ga 3.28, 1 Ca 3.53
Ca 0.7500 0.2500 0.5000  8 Au 3.20-3.21, 4 Ga 3.25
Ca 0.2500 0.7500 0.5000  8 Au 3.20-3.21, 4 Ga 3.25
Ga 0.3329 0.3329 0.6658  3 Au 2.57-2.58
Au 0.1728 0.1728 0.3457  1 Ga 2.58, 2 Au 2.81
Au 0.6517 0.6517 0.8265  1 Ga 2.57, 2 Au 2.79-2.81
Ga 0.6671 0.6671 0.3342  3 Au 2.57-2.58
Au 0.8252 0.8252 0.1735  1 Ga 2.57, 2 Au 2.79-2.81

***

Below is a relaxed structure of TlCrSi2, with properties calculated at the PBE level.

Results
The formation energy (no corrections) is 0.68 eV per atom. The magnetization is 3.62 μB/f.u. The total energy comes out at -20.1 eV for the cell shown. The value obtained for the energy above the most stable polymorph in this dataset is 442 meV/atom. The symmetry is Cmmm. The density of states at the Fermi level is 2.57 states/eV per cell. As for the crystal system: orthorhombic.

Unit cell a=4.8034 b=4.8034 c=3.4259 alpha=90.00 beta=90.00 gamma=109.77
Closest atoms and distances in Å follow each position.
Atoms (fractional coordinates):
Tl 0.5000 0.0000 0.5000  2 Cr 2.76, 8 Si 2.95
Si 0.5000 0.5000 0.0000  2 Si 2.76, 4 Cr 2.95, 4 Tl 2.95
Si 0.0000 0.0000 0.0000  2 Si 2.76, 4 Tl 2.95, 4 Cr 2.95
Cr 0.0000 0.5000 0.5000  2 Tl 2.76, 8 Si 2.95

***

Below is a relaxed structure of MgNb2PtN, with properties calculated at the PBE level.

Results
The formation energy (no corrections) is -0.60 eV per atom. The magnetization is 0.00 μB/f.u. The total energy comes out at -39.1 eV for the cell shown. The symmetry is P4/mmm. The density of states at the Fermi level is 3.47 states/eV per cell. As for the crystal system: tetragonal.

Unit cell a=4.2202 b=4.2202 c=4.2324 alpha=90.00 beta=90.00 gamma=90.00
Closest atoms and distances in Å follow each position.
Atoms (fractional coordinates):
Pt 0.5000 0.5000 0.5000  4 Mg 2.98, 8 Nb 2.99
Nb 0.5000 0.0000 0.0000  2 N 2.11
Nb 0.0000 0.5000 0.0000  2 N 2.11
Mg 0.0000 0.0000 0.5000  2 N 2.12
N 0.0000 0.0000 0.0000  4 Nb 2.11, 2 Mg 2.12

***

Below is a relaxed structure of ThAgF5, with properties calculated at the PBE level.

Results
The formation energy (no corrections) is -3.16 eV per atom. The magnetization is 0.00 μB/f.u. The total energy comes out at -83.5 eV for the cell shown. The symmetry is C2/c. The density of states at the Fermi level is 0.00 states/eV per cell. As for the crystal system: monoclinic.

Unit cell a=6.2501 b=6.2501 c=9.2297 alpha=68.76 beta=68.76 gamma=73.95
Closest atoms and distances in Å follow each position.
Atoms (fractional coordinates):
F 0.3183 0.7512 0.0288  1 Th 2.20
F 0.7512 0.3183 0.5288  1 Th 2.20
F 0.6817 0.2488 0.9712  1 Th 2.20
F 0.0560 0.9440 0.7500  2 Th 2.35
F 0.8030 0.7072 0.1282  1 Th 2.21, 1 Ag 2.30
F 0.9440 0.0560 0.2500  2 Th 2.35
Ag 0.5013 0.4987 0.2500  4 F 2.30-2.52
Ag 0.4987 0.5013 0.7500  4 F 2.30-2.52
Th 0.0000 0.0000 0.0000  6 F 2.20-2.35
F 0.2928 0.1970 0.3718  1 Th 2.21, 1 Ag 2.30
F 0.2488 0.6817 0.4712  1 Th 2.20
Th 0.0000 0.0000 0.5000  6 F 2.20-2.35
F 0.7072 0.8030 0.6282  1 Th 2.21, 1 Ag 2.30
F 0.1970 0.2928 0.8718  1 Th 2.21, 1 Ag 2.30

***

Below is a relaxed structure of TbPrTh2P4, with properties calculated at the PBE level.

Results
As for the formation energy: -1.57 eV/atom. The magnetization is 0.00 μB/f.u. The total energy comes out at -58.4 eV for the cell shown. The symmetry is P2/m. The density of states at the Fermi level is 3.98 states/eV per cell. As for the crystal system: monoclinic.

Unit cell a=4.1385 b=7.1354 c=7.1689 alpha=70.38 beta=90.00 gamma=90.00
Closest atoms and distances in Å follow each position.
Atoms (fractional coordinates):
P 0.5000 0.2510 0.7452  3 Th 2.90-2.94, 2 Tb 2.90, 1 Pr 2.95
P 0.0000 0.7527 0.7447  3 Th 2.90-2.94, 1 Tb 2.91, 2 Pr 2.94
Th 0.5000 0.0000 0.5000  6 P 2.90
P 0.5000 0.7490 0.2548  3 Th 2.90-2.94, 2 Tb 2.90, 1 Pr 2.95
P 0.0000 0.2473 0.2553  3 Th 2.90-2.94, 1 Tb 2.91, 2 Pr 2.94
Pr 0.5000 0.5000 0.0000  6 P 2.94-2.95
Th 0.0000 0.0000 0.0000  6 P 2.94
Tb 0.0000 0.5000 0.5000  6 P 2.90-2.91

***

Below is a relaxed structure of AgSnOF2, with properties calculated at the PBE level.

Results
The formation energy (no corrections) is -1.33 eV per atom. The magnetization is 0.00 μB/f.u. The total energy comes out at -22.2 eV for the cell shown. The value obtained for the energy above the most stable polymorph in this dataset is 0 meV/atom. The symmetry is P4/mmm. The density of states at the Fermi level is 0.77 states/eV per cell. As for the crystal system: tetragonal.

Unit cell a=4.4363 b=4.4363 c=4.1206 alpha=90.00 beta=90.00 gamma=90.00
Closest atoms and distances in Å follow each position.
Atoms (fractional coordinates):
F 0.0000 0.5000 0.0000  2 Sn 2.22
O 0.0000 0.0000 0.5000  2 Sn 2.06
F 0.5000 0.0000 0.0000  2 Sn 2.22
Ag 0.5000 0.5000 0.5000  8 F 3.03, 4 O 3.14
Sn 0.0000 0.0000 0.0000  2 O 2.06, 4 F 2.22

***

Below is a relaxed structure of Nd3Dy5Tm3, with properties calculated at the PBE level.

Results
As for the formation energy: 0.34 eV/atom. The magnetization is 0.00 μB/f.u. The total energy comes out at -47.0 eV for the cell shown. The symmetry is P-62m. The density of states at the Fermi level is 16.58 states/eV per cell. As for the crystal system: hexagonal.

Unit cell a=3.4271 b=11.1660 c=11.1660 alpha=120.00 beta=90.00 gamma=90.00
Closest atoms and distances in Å follow each position.
Atoms (fractional coordinates):
Tm 0.0000 0.4067 0.4067  2 Dy 3.24, 2 Nd 3.31, 2 Tm 3.43
Dy 0.5000 0.3333 0.6667  2 Dy 3.43, 3 Nd 3.69, 6 Tm 3.80
Nd 0.5000 0.6601 0.6601  2 Dy 3.29, 2 Tm 3.31, 2 Nd 3.43
Tm 0.0000 0.5933 0.0000  2 Dy 3.24, 2 Nd 3.31, 2 Tm 3.43
Dy 0.5000 0.8398 0.0000  4 Dy 3.10-3.43, 2 Tm 3.24, 2 Nd 3.29
Dy 0.5000 0.0000 0.8398  4 Dy 3.10-3.43, 2 Tm 3.24, 2 Nd 3.29
Nd 0.5000 0.0000 0.3399  2 Dy 3.29, 2 Tm 3.31, 2 Nd 3.43
Dy 0.5000 0.6667 0.3333  2 Dy 3.43, 3 Nd 3.69, 6 Tm 3.80
Tm 0.0000 0.0000 0.5933  2 Dy 3.24, 2 Nd 3.31, 2 Tm 3.43
Nd 0.5000 0.3399 0.0000  2 Dy 3.29, 2 Tm 3.31, 2 Nd 3.43
Dy 0.5000 0.1602 0.1602  4 Dy 3.10-3.43, 2 Tm 3.24, 2 Nd 3.29